No. 1
First-principles (PBE+U) data for a geometry-optimized Tl3MoF7 structure, as listed in Alexandria.

a b c (Å): 6.265 6.265 6.982
angles (deg): 63.96 63.96 87.25
Last column: magnetic moment on the atom in μB.
Sites, in units of the cell vectors:
Tl1 0.504 0.504 0.924  0.00
F1 0.796 0.796 0.920  0.03
Mo1 0.955 0.955 0.038  1.90
F2 0.990 0.276 0.754  0.00
Tl2 0.235 0.764 0.490  0.00
Tl3 0.764 0.235 0.490  0.00
F3 0.117 0.665 0.170  0.00
F4 0.276 0.990 0.754  0.00
F5 0.665 0.117 0.170  0.00
F6 0.703 0.703 0.387  0.00
F7 0.120 0.120 0.154  0.02

Values from the calculation:
Its density of states at the Fermi level is 0.000 states/eV per atom. As for the symmetry: Cm (8). Its total magnetization is 0.182 μB/atom. The value obtained for the total energy is -4.658 eV/atom.

***

No. 2
First-principles (PBE+U) data for a geometry-optimized Tl6MoF12 structure, as listed in Alexandria.

a b c (Å): 7.715 7.715 7.715
angles (deg): 99.37 99.37 99.37
Last column: magnetic moment on the atom in μB.
Sites, in units of the cell vectors:
Tl1 0.336 0.606 0.156  0.01
Mo1 0.000 0.000 0.000  0.96
F1 0.751 0.016 0.940  0.01
F2 0.813 0.418 0.569  0.01
Tl2 0.664 0.394 0.844  0.01
Tl3 0.394 0.844 0.664  0.01
F3 0.418 0.569 0.813  0.01
F4 0.249 0.984 0.060  0.01
F5 0.016 0.940 0.751  0.01
Tl4 0.844 0.664 0.394  0.01
F6 0.187 0.582 0.431  0.01
F7 0.060 0.249 0.984  0.01
Tl5 0.606 0.156 0.336  0.01
F8 0.431 0.187 0.582  0.01
F9 0.984 0.060 0.249  0.01
F10 0.569 0.813 0.418  0.01
F11 0.582 0.431 0.187  0.01
F12 0.940 0.751 0.016  0.01
Tl6 0.156 0.336 0.606  0.01

Values from the calculation:
Its density of states at the Fermi level is 0.955 states/eV per atom. As for the symmetry: R-3 (148). Its total magnetization is 0.057 μB/atom. The value obtained for the total energy is -4.276 eV/atom.

***

No. 3
First-principles (PBE+U) data for a geometry-optimized TlMoF3 structure, as listed in Alexandria.

a b c (Å): 4.488 4.488 4.488
angles (deg): 90.00 90.00 90.00
Last column: magnetic moment on the atom in μB.
Sites, in units of the cell vectors:
F1 0.000 0.000 0.500  0.01
Tl1 0.500 0.500 0.500  0.04
F2 0.000 0.500 0.000  0.02
F3 0.500 0.000 0.000  0.02
Mo1 0.000 0.000 0.000  3.47

Values from the calculation:
Its density of states at the Fermi level is 0.371 states/eV per atom. As for the symmetry: Pm-3m (221). Its total magnetization is 0.791 μB/atom. The value obtained for the total energy is -4.828 eV/atom. The energy above the most stable polymorph in this dataset comes out at 0.000 eV/atom.

***

No. 4
First-principles (PBE+U) data for a geometry-optimized Tl5Mo2F12 structure, as listed in Alexandria.

a b c (Å): 7.326 10.775 6.409
angles (deg): 80.06 56.17 71.88
Last column: magnetic moment on the atom in μB.
Sites, in units of the cell vectors:
Tl1 0.797 0.582 0.808  0.00
F1 0.842 0.811 0.997  0.01
Tl2 0.574 0.311 0.512  0.00
F2 0.832 0.117 0.715  0.01
Mo1 0.001 0.148 0.855  2.37
F3 0.230 0.675 0.013  0.02
F4 0.770 0.325 0.987  0.02
F5 0.776 0.790 0.484  0.02
F6 0.798 0.052 0.198  0.01
F7 0.168 0.883 0.285  0.01
Tl3 0.203 0.418 0.192  0.00
Tl4 0.426 0.689 0.488  0.00
Mo2 0.999 0.852 0.145  2.37
F8 0.158 0.189 0.003  0.01
F9 0.202 0.948 0.802  0.01
F10 0.224 0.210 0.516  0.02
F11 0.768 0.492 0.476  0.00
Tl5 0.500 0.000 0.000  0.00
F12 0.232 0.508 0.524  0.00

Values from the calculation:
Its density of states at the Fermi level is 0.246 states/eV per atom. As for the symmetry: P-1 (2). Its total magnetization is 0.263 μB/atom. The value obtained for the total energy is -4.691 eV/atom.

***

No. 5
First-principles (PBE+U) data for a geometry-optimized Tl4MoF7 structure, as listed in Alexandria.

a b c (Å): 4.257 6.998 9.970
angles (deg): 93.59 77.67 72.29
Last column: magnetic moment on the atom in μB.
Sites, in units of the cell vectors:
F1 0.500 0.000 0.000  0.03
F2 0.629 0.165 0.577  0.00
F3 0.890 0.288 0.932  0.02
Tl1 0.612 0.579 0.197  0.00
F4 0.826 0.143 0.205  0.02
F5 0.174 0.857 0.795  0.02
Mo1 0.000 0.000 0.000  2.78
Tl2 0.388 0.421 0.803  0.00
F6 0.371 0.835 0.423  0.00
Tl3 0.197 0.199 0.407  0.00
F7 0.110 0.712 0.068  0.02
Tl4 0.803 0.801 0.593  0.00

Values from the calculation:
Its density of states at the Fermi level is 0.000 states/eV per atom. As for the symmetry: C2/m (12). Its total magnetization is 0.250 μB/atom. The value obtained for the total energy is -4.533 eV/atom.

***

No. 6
First-principles (PBE+U) data for a geometry-optimized TlMo2F structure, as listed in Alexandria.

a b c (Å): 4.579 4.579 4.579
angles (deg): 60.00 60.00 60.00
Sites, in units of the cell vectors:
Tl1 0.500 0.500 0.500
F1 0.000 0.000 0.000
Mo1 0.250 0.250 0.250
Mo2 0.750 0.750 0.750

Values from the calculation:
Its density of states at the Fermi level is 0.675 states/eV per atom. As for the symmetry: Fm-3m (225). Its total magnetization is 0.000 μB/atom. The value obtained for the total energy is -3.347 eV/atom. The energy above the most stable polymorph in this dataset comes out at 0.657 eV/atom.